{
  "formula": "Pa2PIr",
  "functional": "PBE-GGA",
  "state": "optimized geometry",
  "delta_e_f_mev_per_atom": -729,
  "n_ef_per_ev_cell": 21.5,
  "rho_g_cm3": 13.21,
  "spacegroup": "R-3m, No. 166",
  "energy_ev_per_atom": -9.0452,
  "cell": [[4.425, 0.000, 0.000], [-2.213, 3.832, 0.000], [0.000, 0.000, 15.240]],
  "species": ["Pa", "Pa", "Pa", "Pa", "Pa", "Pa", "P", "P", "P", "Ir", "Ir", "Ir"],
  "fractional_positions": [[0.000, 0.000, 0.248], [0.000, 0.000, 0.752], [0.333, 0.667, 0.418], [0.333, 0.667, 0.915], [0.667, 0.333, 0.085], [0.667, 0.333, 0.582], [0.000, 0.000, 0.500], [0.333, 0.667, 0.167], [0.667, 0.333, 0.833], [0.000, 0.000, 0.000], [0.333, 0.667, 0.667], [0.667, 0.333, 0.333]]
}

---

{
  "formula": "Pa3P3Ir2",
  "functional": "PBE-GGA",
  "state": "optimized geometry",
  "delta_e_f_mev_per_atom": -1021,
  "n_ef_per_ev_cell": 16.1,
  "rho_g_cm3": 13.06,
  "spacegroup": "Cmcm, No. 63",
  "energy_ev_per_atom": -8.8263,
  "cell": [[2.045, -5.223, 0.000], [2.045, 5.223, 0.000], [0.000, 0.000, 13.939]],
  "species": ["Pa", "Pa", "Pa", "Pa", "Pa", "Pa", "P", "P", "P", "P", "P", "P", "Ir", "Ir", "Ir", "Ir"],
  "fractional_positions": [[0.078, 0.922, 0.610], [0.078, 0.922, 0.890], [0.361, 0.639, 0.750], [0.639, 0.361, 0.250], [0.922, 0.078, 0.110], [0.922, 0.078, 0.390], [0.363, 0.637, 0.250], [0.381, 0.619, 0.543], [0.381, 0.619, 0.957], [0.619, 0.381, 0.043], [0.619, 0.381, 0.457], [0.637, 0.363, 0.750], [0.212, 0.788, 0.106], [0.212, 0.788, 0.394], [0.788, 0.212, 0.606], [0.788, 0.212, 0.894]]
}

---

{
  "formula": "PaPIr3",
  "functional": "PBE-GGA",
  "state": "optimized geometry",
  "delta_e_f_mev_per_atom": -870,
  "n_ef_per_ev_cell": 8.0,
  "rho_g_cm3": 16.44,
  "spacegroup": "I4mm, No. 107",
  "energy_ev_per_atom": -9.1675,
  "cell": [[3.993, 0.000, 0.000], [0.000, 3.993, 0.000], [0.000, 0.000, 10.627]],
  "species": ["Pa", "Pa", "P", "P", "Ir", "Ir", "Ir", "Ir", "Ir", "Ir"],
  "fractional_positions": [[0.000, 0.000, 0.000], [0.500, 0.500, 0.500], [0.000, 0.000, 0.367], [0.500, 0.500, 0.867], [0.000, 0.000, 0.579], [0.000, 0.500, 0.254], [0.000, 0.500, 0.754], [0.500, 0.000, 0.254], [0.500, 0.000, 0.754], [0.500, 0.500, 0.079]]
}

---

{
  "formula": "Pa2P3Ir4Pd",
  "functional": "PBE-GGA",
  "state": "optimized geometry",
  "delta_e_f_mev_per_atom": -828,
  "n_ef_per_ev_cell": 2.8,
  "rho_g_cm3": 14.09,
  "spacegroup": "P-4m2, No. 115",
  "energy_ev_per_atom": -8.4141,
  "cell": [[3.935, 0.000, 0.000], [0.000, 3.935, 0.000], [0.000, 0.000, 10.881]],
  "species": ["Pa", "Pa", "P", "P", "P", "Ir", "Ir", "Ir", "Ir", "Pd"],
  "fractional_positions": [[0.000, 0.500, 0.249], [0.500, 0.000, 0.751], [0.000, 0.000, 0.000], [0.000, 0.500, 0.625], [0.500, 0.000, 0.375], [0.000, 0.000, 0.500], [0.000, 0.500, 0.831], [0.500, 0.000, 0.169], [0.500, 0.500, 0.500], [0.500, 0.500, 0.000]]
}

---

{
  "formula": "PaP2Ir5Pt",
  "functional": "PBE-GGA",
  "state": "optimized geometry",
  "delta_e_f_mev_per_atom": -289,
  "n_ef_per_ev_cell": 5.1,
  "rho_g_cm3": 14.67,
  "spacegroup": "P4/mmm, No. 123",
  "energy_ev_per_atom": -8.1399,
  "cell": [[3.963, 0.000, 0.000], [0.000, 3.963, 0.000], [0.000, 0.000, 10.447]],
  "species": ["Pa", "P", "P", "Ir", "Ir", "Ir", "Ir", "Ir", "Pt"],
  "fractional_positions": [[0.000, 0.000, 0.000], [0.500, 0.500, 0.221], [0.500, 0.500, 0.779], [0.000, 0.500, 0.330], [0.000, 0.500, 0.670], [0.500, 0.000, 0.330], [0.500, 0.000, 0.670], [0.500, 0.500, 0.000], [0.000, 0.000, 0.500]]
}

---

{
  "formula": "Pa2P4Ir3Pt",
  "functional": "PBE-GGA",
  "state": "optimized geometry",
  "delta_e_f_mev_per_atom": -860,
  "n_ef_per_ev_cell": 9.6,
  "rho_g_cm3": 13.47,
  "spacegroup": "P-4m2, No. 115",
  "energy_ev_per_atom": -8.1852,
  "cell": [[4.236, 0.000, 0.000], [0.000, 4.236, 0.000], [0.000, 0.000, 9.329]],
  "species": ["Pa", "Pa", "P", "P", "P", "P", "Ir", "Ir", "Ir", "Pt"],
  "fractional_positions": [[0.000, 0.500, 0.243], [0.500, 0.000, 0.757], [0.000, 0.000, 0.000], [0.000, 0.500, 0.636], [0.500, 0.000, 0.364], [0.500, 0.500, 0.000], [0.000, 0.500, 0.888], [0.500, 0.000, 0.112], [0.500, 0.500, 0.500], [0.000, 0.000, 0.500]]
}

---

{
  "formula": "PuPaP2Ir2",
  "functional": "PBE-GGA",
  "state": "optimized geometry",
  "delta_e_f_mev_per_atom": -1059,
  "n_ef_per_ev_cell": 10.7,
  "rho_g_cm3": 13.60,
  "spacegroup": "P-3m1, No. 164",
  "energy_ev_per_atom": -9.7875,
  "cell": [[4.083, 0.000, 0.000], [-2.042, 3.536, 0.000], [0.000, 0.000, 7.789]],
  "species": ["Pu", "Pa", "P", "P", "Ir", "Ir"],
  "fractional_positions": [[0.000, 0.000, 0.000], [0.000, 0.000, 0.500], [0.333, 0.667, 0.773], [0.667, 0.333, 0.227], [0.333, 0.667, 0.276], [0.667, 0.333, 0.724]]
}

---

{
  "formula": "PaP2Ir2Rh",
  "functional": "PBE-GGA",
  "state": "optimized geometry",
  "delta_e_f_mev_per_atom": -632,
  "n_ef_per_ev_cell": 8.3,
  "rho_g_cm3": 13.32,
  "spacegroup": "Pmc2_1, No. 26",
  "energy_ev_per_atom": -8.1968,
  "cell": [[3.607, 0.000, 0.000], [0.000, 8.578, 0.000], [0.000, 0.000, 6.286]],
  "species": ["Pa", "Pa", "P", "P", "P", "P", "Ir", "Ir", "Ir", "Ir", "Rh", "Rh"],
  "fractional_positions": [[0.000, 0.066, 0.000], [0.000, 0.934, 0.500], [0.000, 0.390, 0.787], [0.000, 0.610, 0.287], [0.500, 0.187, 0.314], [0.500, 0.813, 0.814], [0.000, 0.359, 0.411], [0.000, 0.641, 0.911], [0.500, 0.374, 0.039], [0.500, 0.626, 0.539], [0.500, 0.183, 0.689], [0.500, 0.817, 0.189]]
}

---

{
  "formula": "Pa2P4Ir3Rh",
  "functional": "PBE-GGA",
  "state": "optimized geometry",
  "delta_e_f_mev_per_atom": -929,
  "n_ef_per_ev_cell": 9.6,
  "rho_g_cm3": 12.76,
  "spacegroup": "P-4m2, No. 115",
  "energy_ev_per_atom": -8.3857,
  "cell": [[4.184, 0.000, 0.000], [0.000, 4.184, 0.000], [0.000, 0.000, 9.409]],
  "species": ["Pa", "Pa", "P", "P", "P", "P", "Ir", "Ir", "Ir", "Rh"],
  "fractional_positions": [[0.000, 0.500, 0.245], [0.500, 0.000, 0.755], [0.000, 0.000, 0.000], [0.000, 0.500, 0.636], [0.500, 0.000, 0.364], [0.500, 0.500, 0.000], [0.000, 0.500, 0.886], [0.500, 0.000, 0.114], [0.500, 0.500, 0.500], [0.000, 0.000, 0.500]]
}

---

{
  "formula": "Pa2P3Ir4Ru",
  "functional": "PBE-GGA",
  "state": "optimized geometry",
  "delta_e_f_mev_per_atom": -747,
  "n_ef_per_ev_cell": 5.1,
  "rho_g_cm3": 14.16,
  "spacegroup": "P-4m2, No. 115",
  "energy_ev_per_atom": -8.7409,
  "cell": [[3.921, 0.000, 0.000], [0.000, 3.921, 0.000], [0.000, 0.000, 10.870]],
  "species": ["Pa", "Pa", "P", "P", "P", "Ir", "Ir", "Ir", "Ir", "Ru"],
  "fractional_positions": [[0.000, 0.500, 0.244], [0.500, 0.000, 0.756], [0.000, 0.000, 0.000], [0.000, 0.500, 0.625], [0.500, 0.000, 0.375], [0.000, 0.000, 0.500], [0.000, 0.500, 0.832], [0.500, 0.000, 0.168], [0.500, 0.500, 0.500], [0.500, 0.500, 0.000]]
}

---

{
  "formula": "Pa4PIrS2",
  "functional": "PBE-GGA",
  "state": "optimized geometry",
  "raw_formation_energy_kj_per_mol_atoms": -123.1,
  "n_ef_per_ev_cell": 12.7,
  "rho_g_cm3": 11.43,
  "spacegroup": "P2/m, No. 10",
  "energy_ev_per_atom": -8.8396,
  "cell": [[6.896, 0.000, 0.000], [0.000, 3.834, 0.000], [-2.216, 0.000, 6.659]],
  "species": ["Pa", "Pa", "Pa", "Pa", "P", "Ir", "S", "S"],
  "fractional_positions": [[0.246, 0.000, 0.246], [0.251, 0.500, 0.749], [0.749, 0.500, 0.251], [0.754, 0.000, 0.754], [0.000, 0.000, 0.500], [0.000, 0.500, 0.000], [0.500, 0.000, 0.000], [0.500, 0.500, 0.500]]
}

---

{
  "formula": "PaPIrS",
  "functional": "PBE-GGA",
  "state": "optimized geometry",
  "raw_formation_energy_kj_per_mol_atoms": -105.8,
  "n_ef_per_ev_cell": 4.8,
  "rho_g_cm3": 11.48,
  "spacegroup": "P4/nmm, No. 129",
  "energy_ev_per_atom": -8.0701,
  "cell": [[4.031, 0.000, 0.000], [0.000, 4.031, 0.000], [0.000, 0.000, 8.660]],
  "species": ["Pa", "Pa", "P", "P", "Ir", "Ir", "S", "S"],
  "fractional_positions": [[0.250, 0.250, 0.215], [0.750, 0.750, 0.785], [0.250, 0.250, 0.667], [0.750, 0.750, 0.333], [0.250, 0.750, 0.500], [0.750, 0.250, 0.500], [0.250, 0.750, 0.000], [0.750, 0.250, 0.000]]
}

---

{
  "formula": "Pa4P2IrS",
  "functional": "PBE-GGA",
  "state": "optimized geometry",
  "raw_formation_energy_kj_per_mol_atoms": -116.9,
  "n_ef_per_ev_cell": 11.5,
  "rho_g_cm3": 11.34,
  "spacegroup": "P2/m, No. 10",
  "energy_ev_per_atom": -8.9353,
  "cell": [[6.930, 0.000, 0.000], [0.000, 3.860, 0.000], [-2.230, 0.000, 6.625]],
  "species": ["Pa", "Pa", "Pa", "Pa", "P", "P", "Ir", "S"],
  "fractional_positions": [[0.246, 0.000, 0.247], [0.250, 0.500, 0.749], [0.750, 0.500, 0.251], [0.754, 0.000, 0.753], [0.000, 0.000, 0.500], [0.500, 0.500, 0.500], [0.000, 0.500, 0.000], [0.500, 0.000, 0.000]]
}

---

{
  "formula": "ScPaP2Ir5",
  "functional": "PBE-GGA",
  "state": "optimized geometry",
  "delta_e_f_mev_per_atom": -654,
  "n_ef_per_ev_cell": 3.2,
  "rho_g_cm3": 12.43,
  "spacegroup": "P4/mmm, No. 123",
  "energy_ev_per_atom": -8.5376,
  "cell": [[3.982, 0.000, 0.000], [0.000, 3.982, 0.000], [0.000, 0.000, 10.946]],
  "species": ["Sc", "Pa", "P", "P", "Ir", "Ir", "Ir", "Ir", "Ir"],
  "fractional_positions": [[0.000, 0.000, 0.000], [0.000, 0.000, 0.500], [0.500, 0.500, 0.208], [0.500, 0.500, 0.792], [0.000, 0.500, 0.313], [0.000, 0.500, 0.687], [0.500, 0.000, 0.313], [0.500, 0.000, 0.687], [0.500, 0.500, 0.000]]
}

---

{
  "formula": "Pa4P2IrSe",
  "functional": "PBE-GGA",
  "state": "optimized geometry",
  "raw_formation_energy_kj_per_mol_atoms": -108.9,
  "n_ef_per_ev_cell": 12.0,
  "rho_g_cm3": 11.43,
  "spacegroup": "P2/m, No. 10",
  "energy_ev_per_atom": -8.7718,
  "cell": [[7.023, 0.000, 0.000], [0.000, 3.890, 0.000], [-2.238, 0.000, 6.685]],
  "species": ["Pa", "Pa", "Pa", "Pa", "P", "P", "Ir", "Se"],
  "fractional_positions": [[0.239, 0.000, 0.238], [0.239, 0.500, 0.750], [0.761, 0.000, 0.762], [0.761, 0.500, 0.250], [0.000, 0.500, 0.000], [0.500, 0.000, 0.000], [0.000, 0.000, 0.500], [0.500, 0.500, 0.500]]
}

---

{
  "formula": "PaSiPIr",
  "functional": "PBE-GGA",
  "state": "optimized geometry",
  "raw_formation_energy_kj_per_mol_atoms": -94.8,
  "n_ef_per_ev_cell": 8.4,
  "rho_g_cm3": 11.06,
  "spacegroup": "P4/nmm, No. 129",
  "energy_ev_per_atom": -8.2802,
  "cell": [[4.001, 0.000, 0.000], [0.000, 4.001, 0.000], [0.000, 0.000, 9.047]],
  "species": ["Pa", "Pa", "Si", "Si", "P", "P", "Ir", "Ir"],
  "fractional_positions": [[0.250, 0.250, 0.198], [0.750, 0.750, 0.802], [0.250, 0.250, 0.642], [0.750, 0.750, 0.358], [0.250, 0.250, 0.886], [0.750, 0.750, 0.114], [0.250, 0.750, 0.500], [0.750, 0.250, 0.500]]
}

---

{
  "formula": "TbPaP2Ir5",
  "functional": "PBE-GGA",
  "state": "optimized geometry",
  "delta_e_f_mev_per_atom": -557,
  "n_ef_per_ev_cell": 6.5,
  "rho_g_cm3": 13.15,
  "spacegroup": "P4/mmm, No. 123",
  "energy_ev_per_atom": -8.2519,
  "cell": [[4.033, 0.000, 0.000], [0.000, 4.033, 0.000], [0.000, 0.000, 10.966]],
  "species": ["Tb", "Pa", "P", "P", "Ir", "Ir", "Ir", "Ir", "Ir"],
  "fractional_positions": [[0.000, 0.000, 0.000], [0.000, 0.000, 0.500], [0.500, 0.500, 0.291], [0.500, 0.500, 0.709], [0.000, 0.500, 0.199], [0.000, 0.500, 0.801], [0.500, 0.000, 0.199], [0.500, 0.000, 0.801], [0.500, 0.500, 0.500]]
}

---

{
  "formula": "Pa2TcP3Ir4",
  "functional": "PBE-GGA",
  "state": "optimized geometry",
  "delta_e_f_mev_per_atom": -720,
  "n_ef_per_ev_cell": 3.9,
  "rho_g_cm3": 14.12,
  "spacegroup": "P-4m2, No. 115",
  "energy_ev_per_atom": -8.8228,
  "cell": [[3.929, 0.000, 0.000], [0.000, 3.929, 0.000], [0.000, 0.000, 10.837]],
  "species": ["Pa", "Pa", "Tc", "P", "P", "P", "Ir", "Ir", "Ir", "Ir"],
  "fractional_positions": [[0.000, 0.500, 0.246], [0.500, 0.000, 0.754], [0.500, 0.500, 0.000], [0.000, 0.000, 0.000], [0.000, 0.500, 0.626], [0.500, 0.000, 0.374], [0.000, 0.000, 0.500], [0.000, 0.500, 0.834], [0.500, 0.000, 0.166], [0.500, 0.500, 0.500]]
}

---

{
  "formula": "Pa2TcP4Ir3",
  "functional": "PBE-GGA",
  "state": "optimized geometry",
  "delta_e_f_mev_per_atom": -964,
  "n_ef_per_ev_cell": 3.3,
  "rho_g_cm3": 12.79,
  "spacegroup": "P-4m2, No. 115",
  "energy_ev_per_atom": -8.7220,
  "cell": [[4.175, 0.000, 0.000], [0.000, 4.175, 0.000], [0.000, 0.000, 9.386]],
  "species": ["Pa", "Pa", "Tc", "P", "P", "P", "P", "Ir", "Ir", "Ir"],
  "fractional_positions": [[0.000, 0.500, 0.247], [0.500, 0.000, 0.753], [0.000, 0.000, 0.500], [0.000, 0.000, 0.000], [0.000, 0.500, 0.634], [0.500, 0.000, 0.366], [0.500, 0.500, 0.000], [0.000, 0.500, 0.886], [0.500, 0.000, 0.114], [0.500, 0.500, 0.500]]
}

---

{
  "formula": "PaTcP2Ir",
  "functional": "PBE-GGA",
  "state": "optimized geometry",
  "delta_e_f_mev_per_atom": -843,
  "n_ef_per_ev_cell": 8.0,
  "rho_g_cm3": 12.07,
  "spacegroup": "I-4m2, No. 119",
  "energy_ev_per_atom": -8.7518,
  "cell": [[4.059, 0.000, 0.000], [0.000, 4.059, 0.000], [0.000, 0.000, 9.744]],
  "species": ["Pa", "Pa", "Tc", "Tc", "P", "P", "P", "P", "Ir", "Ir"],
  "fractional_positions": [[0.000, 0.000, 0.000], [0.500, 0.500, 0.500], [0.000, 0.500, 0.250], [0.500, 0.000, 0.750], [0.000, 0.000, 0.381], [0.000, 0.000, 0.619], [0.500, 0.500, 0.119], [0.500, 0.500, 0.881], [0.000, 0.500, 0.750], [0.500, 0.000, 0.250]]
}

---

{
  "formula": "Pa6Te3PIr2",
  "functional": "PBE-GGA",
  "state": "optimized geometry",
  "raw_formation_energy_kj_per_mol_atoms": -81.6,
  "n_ef_per_ev_cell": 24.2,
  "rho_g_cm3": 11.52,
  "spacegroup": "C2/m, No. 12",
  "energy_ev_per_atom": -8.3065,
  "cell": [[3.564, -6.175, 0.000], [3.564, 6.175, 0.000], [-2.372, 0.000, 7.157]],
  "species": ["Pa", "Pa", "Pa", "Pa", "Pa", "Pa", "Te", "Te", "Te", "P", "Ir", "Ir"],
  "fractional_positions": [[0.099, 0.431, 0.796], [0.235, 0.235, 0.204], [0.431, 0.099, 0.796], [0.569, 0.901, 0.204], [0.765, 0.765, 0.796], [0.901, 0.569, 0.204], [0.000, 0.000, 0.500], [0.335, 0.665, 0.500], [0.665, 0.335, 0.500], [0.500, 0.500, 0.000], [0.167, 0.833, 0.000], [0.833, 0.167, 0.000]]
}

---

{
  "formula": "ThPaP2Ir5",
  "functional": "PBE-GGA",
  "state": "optimized geometry",
  "delta_e_f_mev_per_atom": -640,
  "n_ef_per_ev_cell": 6.5,
  "rho_g_cm3": 13.60,
  "spacegroup": "P4/mmm, No. 123",
  "energy_ev_per_atom": -8.6440,
  "cell": [[4.068, 0.000, 0.000], [0.000, 4.068, 0.000], [0.000, 0.000, 10.967]],
  "species": ["Th", "Pa", "P", "P", "Ir", "Ir", "Ir", "Ir", "Ir"],
  "fractional_positions": [[0.000, 0.000, 0.000], [0.000, 0.000, 0.500], [0.500, 0.500, 0.291], [0.500, 0.500, 0.709], [0.000, 0.500, 0.199], [0.000, 0.500, 0.801], [0.500, 0.000, 0.199], [0.500, 0.000, 0.801], [0.500, 0.500, 0.500]]
}

---

{
  "formula": "TmPaP2Ir5",
  "functional": "PBE-GGA",
  "state": "optimized geometry",
  "delta_e_f_mev_per_atom": -572,
  "n_ef_per_ev_cell": 6.4,
  "rho_g_cm3": 13.41,
  "spacegroup": "P4/mmm, No. 123",
  "energy_ev_per_atom": -8.2484,
  "cell": [[4.032, 0.000, 0.000], [0.000, 4.032, 0.000], [0.000, 0.000, 10.839]],
  "species": ["Tm", "Pa", "P", "P", "Ir", "Ir", "Ir", "Ir", "Ir"],
  "fractional_positions": [[0.000, 0.000, 0.000], [0.000, 0.000, 0.500], [0.500, 0.500, 0.288], [0.500, 0.500, 0.712], [0.000, 0.500, 0.195], [0.000, 0.500, 0.805], [0.500, 0.000, 0.195], [0.500, 0.000, 0.805], [0.500, 0.500, 0.500]]
}

---

no.,M_tot (Bohr magnetons per cell)
1,0.00
2,0.00
3,0.00
4,0.00
5,0.00
6,0.68
7,5.09
8,0.00
9,1.32
10,0.00
11,0.00
12,0.00
13,0.00
14,0.00
15,0.00
16,1.19
17,0.46
18,0.00
19,0.00
20,0.00
21,0.00
22,0.89
23,0.49